Here is a relaxed structure of Sr8Li2B22H2O43 from Alexandria. Energies are from PBE.

a = 6.547 Å, b = 8.580 Å, c = 15.051 Å
α = 101.04°, β = 93.94°, γ = 90.57°
Fractional coordinates of all 77 atoms:
Sr1 0.011 0.380 0.105
Sr2 0.145 0.972 0.382
Sr3 0.382 0.926 0.777
Sr4 0.458 0.400 0.734
Sr5 0.542 0.600 0.266
Sr6 0.618 0.074 0.223
Sr7 0.855 0.028 0.618
Sr8 0.989 0.620 0.895
Li1 0.149 0.316 0.526
Li2 0.851 0.684 0.474
B1 0.030 0.725 0.180
B2 0.037 0.551 0.310
B3 0.132 0.009 0.175
B4 0.139 0.267 0.305
B5 0.176 0.646 0.620
B6 0.265 0.653 0.459
B7 0.292 0.293 0.936
B8 0.342 0.770 0.103
B9 0.379 0.067 0.574
B10 0.441 0.683 0.939
B11 0.462 0.319 0.422
B12 0.538 0.681 0.578
B13 0.559 0.317 0.061
B14 0.621 0.933 0.426
B15 0.658 0.230 0.897
B16 0.708 0.707 0.064
B17 0.735 0.347 0.541
B18 0.824 0.354 0.380
B19 0.861 0.733 0.695
B20 0.868 0.991 0.825
B21 0.963 0.449 0.690
B22 0.970 0.275 0.820
H1 0.066 0.986 0.937
H2 0.934 0.014 0.063
O1 0.013 0.894 0.214
O2 0.022 0.911 0.882
O3 0.058 0.369 0.760
O4 0.071 0.773 0.676
O5 0.093 0.325 0.915
O6 0.128 0.652 0.522
O7 0.129 0.487 0.636
O8 0.150 0.411 0.268
O9 0.181 0.102 0.551
O10 0.204 0.661 0.370
O11 0.229 0.133 0.249
O12 0.239 0.676 0.160
O13 0.258 0.292 0.401
O14 0.297 0.937 0.122
O15 0.300 0.702 0.005
O16 0.348 0.311 0.029
O17 0.383 0.654 0.850
O18 0.402 0.677 0.642
O19 0.429 0.245 0.872
O20 0.471 0.091 0.660
O21 0.475 0.657 0.484
O22 0.500 0.000 0.500
O23 0.525 0.343 0.516
O24 0.529 0.909 0.340
O25 0.571 0.755 0.128
O26 0.598 0.323 0.358
O27 0.617 0.346 0.150
O28 0.652 0.689 0.971
O29 0.700 0.298 0.995
O30 0.703 0.063 0.878
O31 0.742 0.708 0.599
O32 0.761 0.324 0.840
O33 0.771 0.867 0.751
O34 0.796 0.339 0.630
O35 0.819 0.898 0.449
O36 0.850 0.589 0.732
O37 0.871 0.513 0.364
O38 0.872 0.348 0.478
O39 0.907 0.675 0.085
O40 0.929 0.227 0.324
O41 0.942 0.631 0.240
O42 0.978 0.089 0.118
O43 0.987 0.106 0.786

Properties
Space-group type: P-1 (2)

***

Here is a relaxed structure of Li2BHPd6 from Alexandria. Energies are from PBE.

a = 5.745 Å, b = 8.110 Å, c = 5.745 Å
α = 90.00°, β = 90.00°, γ = 90.00°
Fractional coordinates of all 20 atoms:
Li1 0.250 0.000 0.250
Li2 0.250 0.500 0.250
Li3 0.750 0.000 0.750
Li4 0.750 0.500 0.750
B1 0.250 0.250 0.750
B2 0.750 0.750 0.250
H1 0.250 0.750 0.749
H2 0.750 0.250 0.251
Pd1 0.005 0.750 0.504
Pd2 0.005 0.750 0.995
Pd3 0.250 0.505 0.750
Pd4 0.250 0.995 0.750
Pd5 0.495 0.750 0.504
Pd6 0.495 0.750 0.995
Pd7 0.505 0.250 0.005
Pd8 0.505 0.250 0.496
Pd9 0.750 0.005 0.250
Pd10 0.750 0.495 0.250
Pd11 0.995 0.250 0.005
Pd12 0.995 0.250 0.496

Properties
Space-group type: Pmmn (59)

***

Here is a relaxed structure of Li2BHRu from Alexandria. Energies are from PBE.

a = 4.100 Å, b = 4.100 Å, c = 3.912 Å
α = 90.00°, β = 90.00°, γ = 90.00°
Fractional coordinates of all 5 atoms:
Li1 0.000 0.500 0.000
Li2 0.500 0.000 0.000
B1 0.000 0.000 0.000
H1 0.500 0.500 0.500
Ru1 0.000 0.000 0.500

Properties
Space-group type: P4/mmm (123)

***

Here is a relaxed structure of LiSnBH6 from Alexandria. Energies are from PBE.

a = 4.449 Å, b = 4.949 Å, c = 5.776 Å
α = 72.59°, β = 89.91°, γ = 65.66°
Fractional coordinates of all 9 atoms:
Li1 0.000 0.000 0.000
Sn1 0.694 0.518 0.364
B1 0.496 0.997 0.856
H1 0.274 0.595 0.237
H2 0.317 0.942 0.735
H3 0.354 0.148 0.988
H4 0.631 0.146 0.718
H5 0.734 0.739 0.973
H6 0.861 0.186 0.249

Properties
Space-group type: P1 (1)

***

Here is a relaxed structure of SrLiB2H8 from Alexandria. Energies are from PBE.

a = 4.274 Å, b = 4.274 Å, c = 7.370 Å
α = 90.00°, β = 90.00°, γ = 120.00°
Fractional coordinates of all 12 atoms:
Sr1 0.000 0.000 0.000
Li1 0.000 0.000 0.500
B1 0.333 0.667 0.258
B2 0.667 0.333 0.742
H1 0.177 0.353 0.311
H2 0.177 0.823 0.311
H3 0.333 0.667 0.086
H4 0.353 0.177 0.689
H5 0.647 0.823 0.311
H6 0.667 0.333 0.914
H7 0.823 0.177 0.689
H8 0.823 0.647 0.689

Properties
Space-group type: P-3m1 (164)

***

Here is a relaxed structure of LiBTeH6 from Alexandria. Energies are from PBE.

a = 4.270 Å, b = 4.335 Å, c = 7.257 Å
α = 78.27°, β = 78.87°, γ = 61.61°
Fractional coordinates of all 9 atoms:
Li1 0.000 0.000 0.000
B1 0.633 0.650 0.035
Te1 0.127 0.340 0.595
H1 0.291 0.071 0.427
H2 0.417 0.861 0.142
H3 0.485 0.529 0.961
H4 0.711 0.484 0.538
H5 0.764 0.800 0.904
H6 0.865 0.414 0.129

Properties
Space-group type: P1 (1)

***

Ordered total DFT energy (no corrections) results: -584.209 -97.703 -19.971 -33.288 -47.029 -33.121; unit eV per cell.
Ordered M_tot results: 0.00 0.00 0.00 0.00 0.04 0.00; unit μB/atom.